Here is P3Se after structural relaxation from Alexandria via LeMat-Bulk. Energies are from PBE.

The space group is P1 (No. 1) and the conventional cell measures 3.913, 5.585 and 5.738 Å, with angles of 112.57, 100.70 and 104.42 degrees. The distinct sites, in fractional coordinates, are P at (0.000, 0.000, 0.000), P at (0.053, 0.791, 0.608), P at (0.495, 0.191, 0.888) and Se at (0.232, 0.572, 0.869).

The calculation puts the energy above the most stable polymorph in this dataset at 164.5 meV per atom. As for the uncorrected formation energy: 6.8 kcal/mol of atoms. As for the density of states at the Fermi level: 0.9 states/eV per cell. Its density is 2.7 g cm⁻³.